Record 1
DFT (PBEsol) results for a relaxed structure of K2ZnS2.

The total DFT energy (no corrections) is -72.01 eV/cell. The crystal system is orthorhombic. The calculation puts the density of states at the Fermi level at 0.00 states/eV/cell.

The structure belongs to space group Ibam (No. 72); the cell edges are 6.638, 12.526 and 6.139 Å and the angles 90.00°, 90.00° and 90.00°. The inequivalent atoms are K at (0.168, 0.145, 0.000), Zn at (0.000, 0.500, 0.250) and S at (0.189, 0.397, 0.000).

---

Record 2
DFT (PBEsol) results for a relaxed structure of KZrS2.

The total DFT energy (no corrections) is -90.19 eV/cell. The crystal system is cubic. The calculation puts the density of states at the Fermi level at 12.98 states/eV/cell.

The structure belongs to space group Fm-3m (No. 225); the cell edges are 6.702, 6.702 and 6.702 Å and the angles 90.00°, 90.00° and 90.00°. The inequivalent atoms are K at (0.000, 0.000, 0.000), Zr at (0.000, 0.000, 0.500) and S at (0.250, 0.250, 0.250).

---

Record 3
DFT (PBEsol) results for a relaxed structure of K2ZrS.

The total DFT energy (no corrections) is -64.11 eV/cell. The crystal system is tetragonal. The calculation puts the density of states at the Fermi level at 20.48 states/eV/cell.

The structure belongs to space group I-42d (No. 122); the cell edges are 11.454, 11.454 and 4.914 Å and the angles 90.00°, 90.00° and 90.00°. The inequivalent atoms are K at (0.107, 0.250, 0.125), Zr at (0.000, 0.000, 0.500) and S at (0.000, 0.000, 0.000).

---

Record 4
DFT (PBEsol) results for a relaxed structure of KSb3.

The total DFT energy (no corrections) is -44.48 eV/cell. The crystal system is trigonal. The calculation puts the density of states at the Fermi level at 6.70 states/eV/cell.

The structure belongs to space group R-3m (No. 166, hexagonal axes); the cell edges are 11.0927, 11.0927 and 3.1363 Å and the angles 90.00°, 90.00° and 120.00°. The inequivalent atoms are K at (0.0000, 0.0000, 0.0000) and Sb at (0.0000, 0.5000, 0.0000).

---

Record 5
DFT (PBEsol) results for a relaxed structure of KSb3.

The total DFT energy (no corrections) is -15.12 eV/cell. The crystal system is orthorhombic. The calculation puts the density of states at the Fermi level at 1.89 states/eV/cell.

The structure belongs to space group Pmm2 (No. 25); the cell edges are 3.861, 5.466 and 6.006 Å and the angles 90.00°, 90.00° and 90.00°. The inequivalent atoms are K at (0.000, 0.000, 0.000), Sb at (0.000, 0.500, 0.394), Sb at (0.500, 0.000, 0.499) and Sb at (0.500, 0.500, 0.751).

---

Record 6
DFT (PBEsol) results for a relaxed structure of K5Sb4.

The total DFT energy (no corrections) is -27.22 eV/cell. The crystal system is triclinic. The calculation puts the density of states at the Fermi level at 3.14 states/eV/cell.

The structure belongs to space group P-1 (No. 2); the cell edges are 6.449, 6.778 and 8.118 Å and the angles 92.19°, 90.30° and 95.93°. The inequivalent atoms are K at (0.000, 0.000, 0.000), K at (0.247, 0.199, 0.528), K at (0.292, 0.527, 0.156), Sb at (0.215, 0.673, 0.711) and Sb at (0.483, 0.028, 0.173).

---

Record 7
DFT (PBEsol) results for a relaxed structure of KSb4.

The total DFT energy (no corrections) is -39.65 eV/cell. The crystal system is tetragonal. The calculation puts the density of states at the Fermi level at 3.98 states/eV/cell.

The structure belongs to space group I4/mmm (No. 139); the cell edges are 5.644, 5.644 and 10.726 Å and the angles 90.00°, 90.00° and 90.00°. The inequivalent atoms are K at (0.000, 0.000, 0.000), Sb at (0.000, 0.000, 0.348) and Sb at (0.000, 0.500, 0.250).

---

Record 8
DFT (PBEsol) results for a relaxed structure of K5Sb4.

The total DFT energy (no corrections) is -55.36 eV/cell. The crystal system is monoclinic. The calculation puts the density of states at the Fermi level at 4.88 states/eV/cell.

The structure belongs to space group C2/m (No. 12); the cell edges are 12.289, 5.430 and 11.194 Å and the angles 90.00°, 111.74° and 90.00°. The inequivalent atoms are K at (0.000, 0.000, 0.000), K at (0.100, 0.000, 0.391), K at (0.246, 0.000, 0.834), Sb at (0.044, 0.500, 0.825) and Sb at (0.106, 0.500, 0.609).

---

Record 9
DFT (PBEsol) results for a relaxed structure of KSb3.

The total DFT energy (no corrections) is -30.74 eV/cell. The crystal system is monoclinic. The calculation puts the density of states at the Fermi level at 2.72 states/eV/cell.

The structure belongs to space group C2/m (No. 12); the cell edges are 11.449, 3.937 and 6.108 Å and the angles 90.00°, 109.33° and 90.00°. The inequivalent atoms are K at (0.000, 0.000, 0.000), Sb at (0.000, 0.500, 0.500) and Sb at (0.220, 0.000, 0.650).

---

Record 10
DFT (PBEsol) results for a relaxed structure of K2ScSb.

The total DFT energy (no corrections) is -25.62 eV/cell. The crystal system is orthorhombic. The calculation puts the density of states at the Fermi level at 6.49 states/eV/cell.

The structure belongs to space group Cmmm (No. 65); the cell edges are 6.156, 11.852 and 3.552 Å and the angles 90.00°, 90.00° and 90.00°. The inequivalent atoms are K at (0.250, 0.250, 0.000), Sc at (0.000, 0.000, 0.500) and Sb at (0.000, 0.500, 0.500).

---

Record 11
DFT (PBEsol) results for a relaxed structure of K2ScSb.

The total DFT energy (no corrections) is -12.85 eV/cell. The crystal system is tetragonal. The calculation puts the density of states at the Fermi level at 3.77 states/eV/cell.

The structure belongs to space group P4/mmm (No. 123); the cell edges are 4.845, 4.845 and 5.900 Å and the angles 90.00°, 90.00° and 90.00°. The inequivalent atoms are K at (0.000, 0.000, 0.237), Sc at (0.500, 0.500, 0.500) and Sb at (0.500, 0.500, 0.000).

---

Record 12
DFT (PBEsol) results for a relaxed structure of K2ScSb.

The total DFT energy (no corrections) is -36.95 eV/cell. The crystal system is trigonal. The calculation puts the density of states at the Fermi level at 15.05 states/eV/cell.

The structure belongs to space group R-3m (No. 166, hexagonal axes); the cell edges are 3.4839, 3.4839 and 37.8339 Å and the angles 90.00°, 90.00° and 120.00°. The inequivalent atoms are K at (0.0000, 0.0000, 0.2419), Sc at (0.0000, 0.0000, 0.0000) and Sb at (0.0000, 0.0000, 0.5000).